# 1
Density functional theory data (PBE) for a relaxed Y2ScPbC crystal.

crystal system	tetragonal
symmetry	P4/mmm (123)
energy relative to the elements	-0.59	eV/atom

abc: 4.924 4.924 4.608
angles: 90.00 90.00 90.00
Fractional positions:
Y1 0.000 0.500 0.000
Y2 0.500 0.000 0.000
Sc1 0.000 0.000 0.500
Pb1 0.500 0.500 0.500
C1 0.000 0.000 0.000

# 2
Density functional theory data (PBE) for a relaxed YSc2PbC crystal.

crystal system	tetragonal
symmetry	P4/mmm (123)
energy relative to the elements	-0.62	eV/atom

abc: 4.605 4.605 4.886
angles: 90.00 90.00 90.00
Fractional positions:
Y1 0.000 0.000 0.000
Sc1 0.000 0.500 0.500
Sc2 0.500 0.000 0.500
Pb1 0.500 0.500 0.000
C1 0.000 0.000 0.500

# 3
Density functional theory data (PBE) for a relaxed Sc2ZnPbC crystal.

crystal system	tetragonal
symmetry	P4/mmm (123)
energy relative to the elements	-0.34	eV/atom

abc: 4.632 4.632 4.152
angles: 90.00 90.00 90.00
Fractional positions:
Sc1 0.000 0.500 0.000
Sc2 0.500 0.000 0.000
Zn1 0.000 0.000 0.500
Pb1 0.500 0.500 0.500
C1 0.000 0.000 0.000

# 4
Density functional theory data (PBE) for a relaxed PbCSe2 crystal.

crystal system	trigonal
energy relative to the lowest polymorph listed for this composition	0	meV/atom
symmetry	R-3m (166)

abc: 8.524 8.524 8.524
angles: 26.83 26.83 26.83
Fractional positions:
Pb1 0.000 0.000 0.000
C1 0.500 0.500 0.500
Se1 0.429 0.429 0.429
Se2 0.571 0.571 0.571